Entry from the Open Quantum Materials Database: crystalline GdErInCo2 at its relaxed geometry (PBE-GGA).

## Properties
E: -5.575 eV per atom

a b c (Å): 3.898 7.144 7.144
angles (deg): 31.04 90.00 90.00
Site moments in Bohr magnetons follow the coordinates.
Fractional coordinates of all 5 atoms:
Co: 0.500 0.205 0.205  0.86
Co: 0.500 0.792 0.792  0.84
In: 0.500 0.001 0.001  -0.03
Gd: 0.000 0.361 0.361  -0.13
Er: 0.000 0.639 0.639  -0.15

Entry from the Open Quantum Materials Database: crystalline KGdErCo2 at its relaxed geometry (PBE-GGA).

## Properties
E: -4.874 eV per atom

a b c (Å): 3.860 9.269 9.269
angles (deg): 24.27 90.00 90.00
Site moments in Bohr magnetons follow the coordinates.
Fractional coordinates of all 5 atoms:
Er: 0.500 0.670 0.670  -0.05
Co: 0.000 0.777 0.777  0.30
Co: 0.000 0.220 0.220  0.31
K: 0.000 0.003 0.003  0.00
Gd: 0.500 0.331 0.331  -0.06

Entry from the Open Quantum Materials Database: crystalline Nd3GdEr2CoTe2 at its relaxed geometry (PBE-GGA).

## Properties
E: -5.315 eV per atom

a b c (Å): 4.003 8.500 8.500
angles (deg): 120.31 90.00 90.00
Fractional coordinates of all 9 atoms:
Er: 0.000 0.000 0.232
Er: 0.000 0.232 0.000
Nd: 0.500 0.000 0.596
Nd: 0.500 0.596 0.000
Nd: 0.500 0.402 0.402
Co: 0.500 0.006 0.006
Te: 0.000 0.332 0.667
Te: 0.000 0.667 0.332
Gd: 0.000 0.766 0.766

Entry from the Open Quantum Materials Database: crystalline GdErCo2Pb at its relaxed geometry (PBE-GGA).

## Properties
E: -5.764 eV per atom

a b c (Å): 3.831 7.309 7.309
angles (deg): 30.49 90.00 90.00
Site moments in Bohr magnetons follow the coordinates.
Fractional coordinates of all 5 atoms:
Er: 0.000 0.641 0.641  -0.14
Gd: 0.000 0.360 0.360  -0.13
Pb: 0.500 0.002 0.002  -0.01
Co: 0.500 0.205 0.205  0.88
Co: 0.500 0.792 0.792  0.88

Entry from the Open Quantum Materials Database: crystalline Gd3Er3CoTe2 at its relaxed geometry (PBE-GGA).

## Properties
energy above the most stable polymorph in this dataset: 0 meV/atom
E: -5.256 eV per atom

a b c (Å): 8.326 8.326 3.936
angles (deg): 90.00 90.00 120.00
Fractional coordinates of all 9 atoms:
Er: 0.233 0.000 0.500
Er: 0.000 0.233 0.500
Er: 0.767 0.767 0.500
Gd: 0.000 0.599 0.000
Gd: 0.599 0.000 0.000
Gd: 0.401 0.401 0.000
Te: 0.667 0.333 0.500
Te: 0.333 0.667 0.500
Co: 0.000 0.000 0.000

Entry from the Open Quantum Materials Database: crystalline Gd3Er3CoTe2 at its relaxed geometry (PBE-GGA).

## Properties
energy above the most stable polymorph in this dataset: 63 meV/atom
E: -5.193 eV per atom

a b c (Å): 8.403 8.403 3.893
angles (deg): 90.00 90.00 120.00
Fractional coordinates of all 9 atoms:
Er: 0.599 0.000 0.000
Er: 0.401 0.401 0.000
Er: 0.000 0.599 0.000
Gd: 0.000 0.238 0.500
Gd: 0.238 0.000 0.500
Gd: 0.762 0.762 0.500
Te: 0.333 0.667 0.500
Te: 0.667 0.333 0.500
Co: 0.000 0.000 0.000

Which of these has the lowest E? GdErCo2Pb

Which of these has the lowest E? GdErCo2Pb

Look up the E of the sixth one. -5.193 eV per atom